The following is a DFT calculation (PBE) of crystalline CaMg2Fe at its relaxed geometry.

The total magnetization is 4.59 Bohr magnetons per cell. For the calculated volume, the calculation gives 22.41 Å³/atom. The value obtained for the final energy is -3.065 eV/atom. The formation energy is 348 meV/atom.

It has space group Imm2 (No. 44), with a = 3.3724 Å, b = 5.1749 Å, c = 10.2729 Å, α = 90.00°, β = 90.00° and γ = 90.00°. The inequivalent atoms are Ca at (0.0000, 0.0000, 0.0000), Mg at (0.0000, 0.0000, 0.4402), Mg at (0.0000, 0.5000, 0.2128) and Fe at (0.0000, 0.5000, 0.7392).